i:
Below is HgGe2B after structural relaxation, with properties calculated at the PBE-GGA level.

a b c (Å): 5.745 5.745 6.316
angles (deg): 62.95 62.95 90.00
Fractional coordinates of all 8 atoms:
Ge 0.218 0.625 0.250
Ge 0.875 0.782 0.750
Ge 0.375 0.468 0.750
Ge 0.532 0.125 0.250
Hg 0.750 0.250 0.500
Hg 0.000 0.000 0.000
B 0.500 0.500 0.000
B 0.250 0.750 0.500

D(E_F) in states/eV/f.u.: 1.59
Calculated density in Mg/m³: 7.4
SG: I-42d, No. 122


ii:
Below is HgGe2B after structural relaxation, with properties calculated at the PBE-GGA level.

a b c (Å): 4.686 4.686 4.686
angles (deg): 60.00 60.00 60.00
Fractional coordinates of all 4 atoms:
B 0.000 0.000 0.000
Hg 0.500 0.500 0.500
Ge 0.250 0.250 0.250
Ge 0.750 0.750 0.750

D(E_F) in states/eV/f.u.: 2.10
Calculated density in Mg/m³: 8.1
SG: Fm-3m, No. 225


Most stable: i


i:
Below is HgGe2B2 after structural relaxation, with properties calculated at the PBE-GGA level.

a b c (Å): 7.220 7.220 3.286
angles (deg): 90.00 90.00 90.00
Fractional coordinates of all 10 atoms:
B 0.580 0.920 0.500
B 0.420 0.080 0.500
B 0.080 0.580 0.500
B 0.920 0.420 0.500
Hg 0.500 0.500 0.000
Hg 0.000 0.000 0.000
Ge 0.648 0.148 0.000
Ge 0.852 0.648 0.000
Ge 0.148 0.352 0.000
Ge 0.352 0.852 0.000

D(E_F) in states/eV/f.u.: 3.46
Calculated density in Mg/m³: 7.1
SG: P4/mbm, No. 127


ii:
Below is HgGe2B2 after structural relaxation, with properties calculated at the PBE-GGA level.

a b c (Å): 4.016 4.016 5.585
angles (deg): 68.93 68.93 90.00
Fractional coordinates of all 5 atoms:
Ge 0.639 0.639 0.722
Ge 0.361 0.361 0.278
B 0.250 0.750 0.500
B 0.750 0.250 0.500
Hg 0.000 0.000 0.000

D(E_F) in states/eV/f.u.: 1.48
Calculated density in Mg/m³: 7.9
SG: I4/mmm, No. 139


Most stable: ii


i:
Below is HgGeBP2 after structural relaxation, with properties calculated at the PBE-GGA level.

a b c (Å): 4.096 5.032 4.096
angles (deg): 90.00 90.00 90.00
Fractional coordinates of all 5 atoms:
Ge 0.000 0.500 0.000
P 0.500 0.000 0.000
P 0.000 0.000 0.500
B 0.000 0.000 0.000
Hg 0.500 0.500 0.500

D(E_F) in states/eV/f.u.: 3.18
Calculated density in Mg/m³: 6.8
SG: P4/mmm, No. 123


ii:
Below is HgGeBP2 after structural relaxation, with properties calculated at the PBE-GGA level.

a b c (Å): 5.210 4.058 5.210
angles (deg): 90.00 90.00 90.00
Fractional coordinates of all 5 atoms:
B 0.000 0.500 0.000
Hg 0.000 0.000 0.000
Ge 0.500 0.500 0.500
P 0.000 0.000 0.500
P 0.500 0.000 0.000

D(E_F) in states/eV/f.u.: 3.82
Calculated density in Mg/m³: 5.2
SG: P4/mmm, No. 123


Most stable: i


i:
Below is Ge3BI after structural relaxation, with properties calculated at the PBE-GGA level.

a b c (Å): 5.481 5.481 5.481
angles (deg): 90.00 90.00 90.00
Fractional coordinates of all 5 atoms:
I 0.000 0.000 0.000
Ge 0.500 0.000 0.000
Ge 0.000 0.000 0.500
Ge 0.000 0.500 0.000
B 0.500 0.500 0.500

D(E_F) in states/eV/f.u.: 1.71
Calculated density in Mg/m³: 3.6
SG: Pm-3m, No. 221


ii:
Below is Ge3BI after structural relaxation, with properties calculated at the PBE-GGA level.

a b c (Å): 4.639 4.639 4.639
angles (deg): 90.00 90.00 90.00
Fractional coordinates of all 5 atoms:
I 0.500 0.500 0.500
B 0.000 0.000 0.000
Ge 0.000 0.500 0.000
Ge 0.500 0.000 0.000
Ge 0.000 0.000 0.500

D(E_F) in states/eV/f.u.: 3.26
Calculated density in Mg/m³: 5.9
SG: Pm-3m, No. 221


Most stable: ii


i:
Below is GeBI3 after structural relaxation, with properties calculated at the PBE-GGA level.

a b c (Å): 5.138 5.138 5.138
angles (deg): 90.00 90.00 90.00
Fractional coordinates of all 5 atoms:
Ge 0.500 0.500 0.500
B 0.000 0.000 0.000
I 0.000 0.000 0.500
I 0.000 0.500 0.000
I 0.500 0.000 0.000

D(E_F) in states/eV/f.u.: 1.66
Calculated density in Mg/m³: 5.7
SG: Pm-3m, No. 221


ii:
Below is GeBI3 after structural relaxation, with properties calculated at the PBE-GGA level.

a b c (Å): 5.780 5.780 5.780
angles (deg): 90.00 90.00 90.00
Fractional coordinates of all 5 atoms:
I 0.000 0.000 0.500
I 0.500 0.000 0.000
I 0.000 0.500 0.000
Ge 0.000 0.000 0.000
B 0.500 0.500 0.500

D(E_F) in states/eV/f.u.: 0.33
Calculated density in Mg/m³: 4.0
SG: Pm-3m, No. 221


Most stable: i


i:
Below is GeBTe2I after structural relaxation, with properties calculated at the PBE-GGA level.

a b c (Å): 5.436 5.436 5.756
angles (deg): 90.00 90.00 90.00
Fractional coordinates of all 5 atoms:
Te 0.500 0.000 0.000
Te 0.000 0.500 0.000
I 0.000 0.000 0.500
Ge 0.000 0.000 0.000
B 0.500 0.500 0.500

D(E_F) in states/eV/f.u.: 5.12
Calculated density in Mg/m³: 4.5
SG: P4/mmm, No. 123


ii:
Below is GeBTe2I after structural relaxation, with properties calculated at the PBE-GGA level.

a b c (Å): 4.968 4.968 4.979
angles (deg): 90.00 90.00 90.00
Fractional coordinates of all 5 atoms:
Ge 0.500 0.500 0.500
Te 0.500 0.000 0.000
Te 0.000 0.500 0.000
I 0.000 0.000 0.500
B 0.000 0.000 0.000

D(E_F) in states/eV/f.u.: 3.64
Calculated density in Mg/m³: 6.3
SG: P4/mmm, No. 123


Most stable: ii